Entry 1:
# Nd3PdC4

An optimized crystal structure of Nd3PdC4 (PBE, the Alexandria database).

Unit cell a=3.6825 b=5.0890 c=7.4502 alpha=102.34 beta=104.28 gamma=90.02
Last column: nearest neighbours and their distance in Å.
Positions (direct):
Nd: 0.0000 0.5000 0.0000  8 C 2.72-2.81
Nd: 0.8184 0.8059 0.6389  6 C 2.60-2.78
Nd: 0.1816 0.1941 0.3611  6 C 2.60-2.78
C: 0.3602 0.4480 0.7149  1 C 1.36
C: 0.6398 0.5520 0.2851  1 C 1.36
C: 0.3726 0.1943 0.7462  1 C 1.36
C: 0.6274 0.8057 0.2538  1 C 1.36
Pd: 0.5000 0.0000 0.0000  2 C 2.27

Computed properties:
Final energy: -7.208 eV per atom
DOS(E_F): 4.226 states/eV/f.u.

Entry 2:
# TbAlPtAu

An optimized crystal structure of TbAlPtAu (PBE, the Alexandria database).

Unit cell a=4.7765 b=4.7765 c=4.7765 alpha=60.00 beta=60.00 gamma=60.00
Last column: nearest neighbours and their distance in Å.
Positions (direct):
Tb: 0.2500 0.2500 0.2500  4 Pt 2.92, 4 Au 2.92
Au: 0.5000 0.5000 0.5000  4 Al 2.92, 4 Tb 2.92
Pt: 0.0000 0.0000 0.0000  4 Tb 2.92, 4 Al 2.92
Al: 0.7500 0.7500 0.7500  4 Pt 2.92, 4 Au 2.92

Computed properties:
Final energy: -5.251 eV per atom
DOS(E_F): 2.279 states/eV/f.u.